Material: MgOsPb2
Method: DFT, PBE
State: relaxed

The space group is R-3m (No. 166, hexagonal axes) and the conventional cell measures 3.4115, 3.4115 and 27.9073 Å, with angles of 90.00, 90.00 and 120.00 degrees. The asymmetric unit holds Mg at (0.0000, 0.0000, 0.0000), Os at (0.0000, 0.0000, 0.5000) and Pb at (0.0000, 0.0000, 0.2391).

For the size of the total moment, the calculation gives 0.00 μB/cell. The value obtained for the mass density is 11.1 g/cm3. The value obtained for the total energy is -54.00 eV per cell.